Record 1
Cs2TmAs2O6: relaxed, PBE-GGA.

Calculated values
DFT total energy   -66.3 eV/cell
Symmetry   No. 12
Total magnetization   0.82 μB/cell
V   215.59 Å³/cell
DOS at the Fermi energy   2.6 states/eV/f.u.
Crystal system   monoclinic
E_form (uncorrected)   -1.92 eV/atom

Unit cell a=6.0649 b=6.0552 c=7.5259 alpha=112.03 beta=90.00 gamma=120.05
With the nearest neighbours (Å) after each atom.
Positions (direct):
As 0.0766 0.1532 0.2285  3 O 1.77
Tm 0.5000 0.0000 0.5000  6 O 2.24-2.25
O 0.2263 0.9845 0.7032  1 As 1.77
O 0.2630 0.5261 0.3644  1 As 1.77
O 0.7582 0.9845 0.7032  1 As 1.77
O 0.2418 0.0155 0.2968  1 As 1.77
Cs 0.2786 0.5572 0.8202  7 O 3.08-3.36
O 0.7737 0.0155 0.2968  1 As 1.77
Cs 0.7214 0.4428 0.1798  7 O 3.08-3.36
As 0.9234 0.8468 0.7715  3 O 1.77
O 0.7370 0.4739 0.6356  1 As 1.77

Record 2
CsUAsO5: relaxed, PBE-GGA.

Calculated values
DFT total energy   -119.6 eV/cell
Symmetry   No. 15
Total magnetization   0.00 μB/cell
V   326.54 Å³/cell
DOS at the Fermi energy   0.0 states/eV/f.u.
Crystal system   monoclinic
E_form (uncorrected)   -2.28 eV/atom

Unit cell a=6.5995 b=6.5995 c=8.0868 alpha=96.72 beta=96.72 gamma=108.84
With the nearest neighbours (Å) after each atom.
Positions (direct):
O 0.0640 0.9360 0.2500  2 U 2.14
As 0.2992 0.7008 0.7500  2 O 1.73
As 0.7008 0.2992 0.2500  2 O 1.73
O 0.2828 0.8800 0.6141  1 As 1.73
O 0.7172 0.1200 0.3859  1 As 1.73
O 0.7104 0.8108 0.9728  1 U 1.89
O 0.8108 0.7104 0.4728  1 U 1.89
Cs 0.3544 0.6456 0.2500  9 O 3.12-3.45
U 0.0000 0.0000 0.0000  2 O 1.89
U 0.0000 0.0000 0.5000  2 O 1.89
O 0.1892 0.2896 0.5272  1 U 1.89
O 0.2896 0.1892 0.0272  1 U 1.89
O 0.9360 0.0640 0.7500  2 U 2.14
Cs 0.6456 0.3544 0.7500  9 O 3.12-3.45
O 0.8800 0.2828 0.1141  1 As 1.73
O 0.1200 0.7172 0.8859  1 As 1.73

Record 3
CsUAsO6: relaxed, PBE-GGA.

Calculated values
DFT total energy   -132.4 eV/cell
Symmetry   No. 74
Total magnetization   0.00 μB/cell
V   291.04 Å³/cell
Crystal system   orthorhombic
E_form (uncorrected)   -2.19 eV/atom

Unit cell a=7.8804 b=7.0053 c=7.4557 alpha=118.02 beta=121.90 gamma=90.00
With the nearest neighbours (Å) after each atom.
Positions (direct):
O 0.5482 0.3302 0.7578  1 As 1.88, 1 U 2.06
As 0.5000 0.0000 0.0000  6 O 1.87-1.88
U 0.0000 0.0000 0.5000  6 O 2.06-2.13
Cs 0.1372 0.3872 0.2744  12 O 3.18-3.56
O 0.5482 0.9276 0.7578  1 As 1.88, 1 U 2.06
O 0.4518 0.6698 0.2422  1 As 1.88, 1 U 2.06
U 0.5000 0.0000 0.5000  6 O 2.06-2.13
O 0.4389 0.6889 0.8779  2 As 1.87
O 0.8270 0.0770 0.6540  2 U 2.13
O 0.7904 0.0724 0.2422  1 As 1.88, 1 U 2.06
O 0.5611 0.3111 0.1221  2 As 1.87
O 0.7904 0.6698 0.2422  1 As 1.88, 1 U 2.06
O 0.2096 0.3302 0.7578  1 As 1.88, 1 U 2.06
Cs 0.8628 0.6128 0.7256  12 O 3.18-3.56
O 0.4518 0.0724 0.2422  1 As 1.88, 1 U 2.06
O 0.2096 0.9276 0.7578  1 As 1.88, 1 U 2.06
As 0.5000 0.5000 0.0000  6 O 1.87-1.88
O 0.1730 0.9230 0.3460  2 U 2.13